A relaxed structure of LaSmMg2. Source: Alexandria via LeMat-Bulk, functional PBEsol.

Cell: 7.7039 7.7039 7.7039 Å, 90.00 90.00 90.00°
Sites, in units of the cell vectors:
La 0.0000 0.0000 0.0000
La 0.0000 0.5000 0.5000
La 0.5000 0.0000 0.5000
La 0.5000 0.5000 0.0000
Sm 0.0000 0.0000 0.5000
Sm 0.0000 0.5000 0.0000
Sm 0.5000 0.0000 0.0000
Sm 0.5000 0.5000 0.5000
Mg 0.2500 0.2500 0.2500
Mg 0.2500 0.2500 0.7500
Mg 0.2500 0.7500 0.2500
Mg 0.2500 0.7500 0.7500
Mg 0.7500 0.2500 0.2500
Mg 0.7500 0.2500 0.7500
Mg 0.7500 0.7500 0.2500
Mg 0.7500 0.7500 0.7500

- E_form (meV per atom) = -93
- magnetic moment (μB per atom) = 0.000
- calculated total energy (eV per atom) = -3.56
- volume (Å³/cell) = 457.2